Version 1
DFT (PBE-GGA) results for a geometry-optimized KCu3SnS4 structure.

abc: 5.702 7.505 9.721
angles: 90.00 103.58 90.00
Space group P2_1/m (No. 11)
Unique sites:
K (0.202, 0.250, 0.371) [2 per cell]
Cu (0.303, 0.570, 0.024) [4 per cell]
Cu (0.414, 0.750, 0.260) [2 per cell]
Sn (0.121, 0.250, 0.782) [2 per cell]
S (0.028, 0.250, 0.018) [2 per cell]
S (0.198, 0.750, 0.427) [2 per cell]
S (0.385, 0.514, 0.791) [4 per cell]

Version 2
DFT (PBE-GGA) results for a geometry-optimized KCu3SnS4 structure.

abc: 6.015 6.015 6.015
angles: 90.00 90.00 90.00
Space group P-43m (No. 215)
Unique sites:
K (0.000, 0.000, 0.000) [1 per cell]
Cu (0.000, 0.500, 0.500) [3 per cell]
Sn (0.500, 0.500, 0.500) [1 per cell]
S (0.273, 0.273, 0.273) [4 per cell]

Energies relative to the most stable structure, in kJ/mol of atoms: version 1 0.0; version 2 16.0.

Version 1
DFT (PBE-GGA) results for a geometry-optimized KCuTcS3 structure.

abc: 7.680 3.654 9.439
angles: 90.00 112.46 90.00
Space group P2_1/m (No. 11)
Unique sites:
K (0.243, 0.250, 0.227) [2 per cell]
Cu (0.420, 0.250, 0.893) [2 per cell]
Tc (0.188, 0.750, 0.670) [2 per cell]
S (0.034, 0.750, 0.387) [2 per cell]
S (0.256, 0.750, 0.939) [2 per cell]
S (0.385, 0.250, 0.647) [2 per cell]

Version 2
DFT (PBE-GGA) results for a geometry-optimized KCuTcS3 structure.

abc: 3.601 14.257 9.410
angles: 90.00 90.00 90.00
Space group Cmcm (No. 63)
Unique sites:
K (0.000, 0.249, 0.250) [4 per cell]
Cu (0.000, 0.035, 0.750) [4 per cell]
Tc (0.000, 0.500, 0.000) [4 per cell]
S (0.000, 0.115, 0.543) [8 per cell]
S (0.000, 0.436, 0.750) [4 per cell]

Energies relative to the most stable structure, in kJ/mol of atoms: version 1 0.0; version 2 3.4.

Version 1
DFT (PBE-GGA) results for a geometry-optimized KCuTcTe2Se structure.

abc: 8.647 3.902 10.165
angles: 90.00 113.60 90.00
Space group P2_1/m (No. 11)
Unique sites:
K (0.223, 0.250, 0.229) [2 per cell]
Cu (0.424, 0.250, 0.898) [2 per cell]
Tc (0.186, 0.750, 0.653) [2 per cell]
Te (0.248, 0.750, 0.939) [2 per cell]
Te (0.400, 0.250, 0.638) [2 per cell]
Se (0.028, 0.750, 0.378) [2 per cell]

Version 2
DFT (PBE-GGA) results for a geometry-optimized KCuTcTe2Se structure.

abc: 3.893 15.966 10.151
angles: 90.00 90.00 90.00
Space group Cmcm (No. 63)
Unique sites:
K (0.000, 0.244, 0.250) [4 per cell]
Cu (0.000, 0.029, 0.750) [4 per cell]
Tc (0.000, 0.500, 0.000) [4 per cell]
Te (0.000, 0.120, 0.540) [8 per cell]
Se (0.000, 0.440, 0.750) [4 per cell]

Energies relative to the most stable structure, in kJ/mol of atoms: version 1 0.0; version 2 5.8.

Version 1
DFT (PBE-GGA) results for a geometry-optimized KZrCu3Se4 structure.

abc: 6.216 6.216 6.216
angles: 90.00 90.00 90.00
Space group P-43m (No. 215)
Unique sites:
K (0.000, 0.000, 0.000) [1 per cell]
Zr (0.500, 0.500, 0.500) [1 per cell]
Cu (0.000, 0.500, 0.500) [3 per cell]
Se (0.269, 0.269, 0.269) [4 per cell]

Version 2
DFT (PBE-GGA) results for a geometry-optimized KZrCu3Se4 structure.

abc: 5.902 7.701 9.963
angles: 90.00 106.52 90.00
Space group P2_1/m (No. 11)
Unique sites:
K (0.200, 0.250, 0.382) [2 per cell]
Zr (0.138, 0.250, 0.784) [2 per cell]
Cu (0.286, 0.522, 0.003) [4 per cell]
Cu (0.361, 0.750, 0.212) [2 per cell]
Se (0.027, 0.250, 0.018) [2 per cell]
Se (0.226, 0.750, 0.422) [2 per cell]
Se (0.393, 0.518, 0.779) [4 per cell]

Energies relative to the most stable structure, in kJ/mol of atoms: version 1 8.1; version 2 0.0.

Version 1
DFT (PBE-GGA) results for a geometry-optimized KCuSnTe3 structure.

abc: 12.059 4.467 13.529
angles: 90.00 90.00 90.00
Space group Pnma (No. 62)
Unique sites:
K (0.249, 0.250, 0.018) [4 per cell]
Cu (0.249, 0.250, 0.325) [4 per cell]
Sn (0.002, 0.250, 0.750) [4 per cell]
Te (0.044, 0.250, 0.403) [4 per cell]
Te (0.046, 0.750, 0.902) [4 per cell]
Te (0.248, 0.750, 0.224) [4 per cell]

Version 2
DFT (PBE-GGA) results for a geometry-optimized KCuSnTe3 structure.

abc: 16.046 4.308 11.375
angles: 90.00 90.00 90.00
Space group Pnma (No. 62)
Unique sites:
K (0.226, 0.250, 0.016) [4 per cell]
Cu (0.007, 0.750, 0.069) [4 per cell]
Sn (0.021, 0.250, 0.343) [4 per cell]
Te (0.084, 0.750, 0.870) [4 per cell]
Te (0.101, 0.250, 0.572) [4 per cell]
Te (0.126, 0.750, 0.236) [4 per cell]

Version 3
DFT (PBE-GGA) results for a geometry-optimized KCuSnTe3 structure.

abc: 13.916 4.500 12.087
angles: 90.00 90.00 90.00
Space group Pnma (No. 62)
Unique sites:
K (0.163, 0.250, 0.007) [4 per cell]
Cu (0.236, 0.750, 0.797) [4 per cell]
Sn (0.015, 0.750, 0.344) [4 per cell]
Te (0.052, 0.750, 0.806) [4 per cell]
Te (0.127, 0.250, 0.476) [4 per cell]
Te (0.199, 0.750, 0.231) [4 per cell]

Energies relative to the most stable structure, in kJ/mol of atoms: version 1 2.6; version 2 0.0; version 3 1.6.

Version 1
DFT (PBE-GGA) results for a geometry-optimized KCuSnTe3 structure.

abc: 4.116 15.615 11.731
angles: 90.00 90.00 90.00
Space group Cmcm (No. 63)
Unique sites:
K (0.000, 0.244, 0.250) [4 per cell]
Cu (0.000, 0.057, 0.750) [4 per cell]
Sn (0.000, 0.500, 0.000) [4 per cell]
Te (0.000, 0.135, 0.550) [8 per cell]
Te (0.000, 0.449, 0.750) [4 per cell]

Version 2
DFT (PBE-GGA) results for a geometry-optimized KCuSnTe3 structure.

abc: 10.219 4.307 16.791
angles: 90.00 90.00 90.00
Space group Pnma (No. 62)
Unique sites:
K (0.053, 0.250, 0.180) [4 per cell]
Cu (0.198, 0.250, 0.626) [4 per cell]
Sn (0.165, 0.750, 0.440) [4 per cell]
Te (0.049, 0.750, 0.610) [4 per cell]
Te (0.155, 0.750, 0.001) [4 per cell]
Te (0.211, 0.250, 0.777) [4 per cell]

Energies relative to the most stable structure, in kJ/mol of atoms: version 1 0.0; version 2 1.2.

Version 1
DFT (PBE-GGA) results for a geometry-optimized KCuSnTe3 structure.

abc: 17.616 4.715 9.178
angles: 90.00 94.89 90.00
Space group C2/m (No. 12)
Unique sites:
K (0.149, 0.000, 0.080) [4 per cell]
Cu (0.008, 0.500, 0.334) [4 per cell]
Sn (0.167, 0.000, 0.583) [4 per cell]
Te (0.000, 0.000, 0.500) [2 per cell]
Te (0.000, 0.500, 0.000) [2 per cell]
Te (0.131, 0.500, 0.796) [4 per cell]
Te (0.161, 0.500, 0.353) [4 per cell]

Version 2
DFT (PBE-GGA) results for a geometry-optimized KCuSnTe3 structure.

abc: 9.103 4.289 10.822
angles: 90.00 110.52 90.00
Space group P2_1/m (No. 11)
Unique sites:
K (0.238, 0.250, 0.197) [2 per cell]
Cu (0.438, 0.250, 0.926) [2 per cell]
Sn (0.187, 0.750, 0.647) [2 per cell]
Te (0.055, 0.750, 0.358) [2 per cell]
Te (0.265, 0.750, 0.938) [2 per cell]
Te (0.422, 0.250, 0.675) [2 per cell]

Energies relative to the most stable structure, in kJ/mol of atoms: version 1 4.7; version 2 0.0.

Version 1
DFT (PBE-GGA) results for a geometry-optimized KCuTcTe3 structure.

abc: 12.888 4.014 12.601
angles: 90.00 90.00 90.00
Space group Pnma (No. 62)
Unique sites:
K (0.162, 0.250, 0.016) [4 per cell]
Cu (0.247, 0.250, 0.700) [4 per cell]
Tc (0.033, 0.250, 0.352) [4 per cell]
Te (0.036, 0.750, 0.205) [4 per cell]
Te (0.089, 0.250, 0.565) [4 per cell]
Te (0.241, 0.250, 0.323) [4 per cell]

Version 2
DFT (PBE-GGA) results for a geometry-optimized KCuTcTe3 structure.

abc: 8.439 3.997 10.545
angles: 90.00 113.32 90.00
Space group P2_1/m (No. 11)
Unique sites:
K (0.228, 0.250, 0.208) [2 per cell]
Cu (0.418, 0.250, 0.887) [2 per cell]
Tc (0.201, 0.750, 0.672) [2 per cell]
Te (0.040, 0.750, 0.386) [2 per cell]
Te (0.250, 0.750, 0.939) [2 per cell]
Te (0.401, 0.250, 0.641) [2 per cell]

Version 3
DFT (PBE-GGA) results for a geometry-optimized KCuTcTe3 structure.

abc: 3.946 15.913 10.491
angles: 90.00 90.00 90.00
Space group Cmcm (No. 63)
Unique sites:
K (0.000, 0.241, 0.250) [4 per cell]
Cu (0.000, 0.462, 0.750) [4 per cell]
Tc (0.000, 0.000, 0.000) [4 per cell]
Te (0.000, 0.068, 0.750) [4 per cell]
Te (0.000, 0.381, 0.539) [8 per cell]

Energies relative to the most stable structure, in kJ/mol of atoms: version 1 12.9; version 2 0.0; version 3 5.2.